The following is a PBE with a Hubbard U calculation of an optimized crystal structure of FeSe2BrO, from Alexandria.

Values from the calculation:
Its space-group type is P4/mmm, No. 123. The calculation puts the calculated total energy at -3.019 eV/atom.

Lattice parameters (Å, degrees): 4.962 4.962 5.111 90.00 90.00 90.00
Fractional coordinates of all 5 atoms:
Fe: 0.000 0.000 0.000
Se: 0.000 0.500 0.000
Se: 0.500 0.000 0.000
Br: 0.000 0.000 0.500
O: 0.500 0.500 0.500